{
  "formula": "LiNbHgPd2",
  "functional": "GGA-PBEsol",
  "state": "relaxed",
  "delta_e_f_mev_per_atom": 622,
  "spacegroup": "P4/mmm (123)",
  "lattice_angstrom": [[-4.035, -0.994, 0.646], [0.874, -0.948, 4.003], [-0.881, 4.373, 1.227]],
  "species": ["Hg", "Pd", "Pd", "Nb", "Li"],
  "fractional_positions": [[0.500, 0.500, 0.500], [0.000, 0.500, 0.000], [0.500, 0.000, 0.000], [0.000, 0.000, 0.500], [0.000, 0.000, 0.000]]
}

---

{
  "formula": "Li2NiHg",
  "functional": "GGA-PBEsol",
  "state": "relaxed",
  "delta_e_f_mev_per_atom": -161,
  "spacegroup": "F-43m (216)",
  "lattice_angstrom": [[4.303, 0.000, 0.000], [2.151, 3.726, 0.000], [2.151, 1.242, 3.513]],
  "species": ["Li", "Li", "Hg", "Ni"],
  "fractional_positions": [[0.000, 0.000, 0.000], [0.750, 0.750, 0.750], [0.500, 0.500, 0.500], [0.250, 0.250, 0.250]]
}

---

{
  "formula": "LiNiHg",
  "functional": "GGA-PBEsol",
  "state": "relaxed",
  "delta_e_f_mev_per_atom": 151,
  "spacegroup": "P3m1 (156)",
  "lattice_angstrom": [[2.871, 0.000, 0.000], [-1.436, 2.487, 0.000], [0.000, 0.000, 6.425]],
  "species": ["Hg", "Li", "Ni"],
  "fractional_positions": [[0.000, 0.000, 0.011], [0.333, 0.667, 0.644], [0.667, 0.333, 0.345]]
}

---

{
  "formula": "Li2NiHg",
  "functional": "GGA-PBEsol",
  "state": "relaxed",
  "delta_e_f_mev_per_atom": -151,
  "spacegroup": "I4/mmm (139)",
  "lattice_angstrom": [[3.765, 0.000, 0.000], [0.000, 3.770, 0.000], [-1.882, -1.885, 3.898]],
  "species": ["Hg", "Ni", "Li", "Li"],
  "fractional_positions": [[0.000, 0.500, 0.000], [0.500, 0.000, 0.000], [0.250, 0.250, 0.500], [0.750, 0.750, 0.500]]
}

---

{
  "formula": "LiHgO3",
  "functional": "GGA-PBEsol",
  "state": "relaxed",
  "spacegroup": "Pm-3m (221)",
  "e_form_raw_ev_per_atom": 0.124,
  "lattice_angstrom": [[4.151, 0.000, 0.000], [0.000, 4.151, 0.000], [0.000, 0.000, 4.151]],
  "species": ["Hg", "O", "O", "O", "Li"],
  "fractional_positions": [[0.500, 0.500, 0.500], [0.000, 0.500, 0.500], [0.500, 0.500, 0.000], [0.500, 0.000, 0.500], [0.000, 0.000, 0.000]]
}

---

{
  "formula": "Li2HgO",
  "functional": "GGA-PBEsol",
  "state": "relaxed",
  "spacegroup": "Fm-3m (225)",
  "e_form_raw_ev_per_atom": -0.618,
  "lattice_angstrom": [[-1.184, -3.235, -2.432], [2.007, -0.753, -3.632], [2.492, -3.382, -0.370]],
  "species": ["Hg", "Li", "Li", "O"],
  "fractional_positions": [[0.500, 0.500, 0.500], [0.750, 0.750, 0.750], [0.250, 0.250, 0.250], [0.000, 0.000, 0.000]]
}

---

{
  "formula": "Li2HgP4O12",
  "functional": "GGA-PBEsol",
  "state": "relaxed",
  "spacegroup": "P2_1/c (14)",
  "e_form_raw_ev_per_atom": -2.036,
  "lattice_angstrom": [[-5.124, 0.349, 7.954], [-4.941, -7.532, -3.216], [6.510, -6.177, 4.465]],
  "species": ["O", "O", "O", "O", "O", "O", "O", "O", "O", "O", "O", "O", "O", "O", "O", "O", "O", "O", "O", "O", "O", "O", "O", "O", "O", "O", "O", "O", "O", "O", "O", "O", "O", "O", "O", "O", "O", "O", "O", "O", "O", "O", "O", "O", "O", "O", "O", "O", "Li", "Li", "Li", "Li", "Li", "Li", "Li", "Li", "P", "P", "P", "P", "P", "P", "P", "P", "P", "P", "P", "P", "P", "P", "P", "P", "Hg", "Hg", "Hg", "Hg"],
  "fractional_positions": [[0.476, 0.143, 0.884], [0.761, 0.113, 0.012], [0.580, 0.653, 0.965], [0.658, 0.339, 0.933], [0.909, 0.841, 0.512], [0.266, 0.686, 0.826], [0.967, 0.615, 0.230], [0.342, 0.661, 0.067], [0.830, 0.648, 0.023], [0.830, 0.148, 0.477], [0.248, 0.896, 0.285], [0.266, 0.186, 0.674], [0.460, 0.897, 0.713], [0.752, 0.604, 0.785], [0.170, 0.352, 0.977], [0.170, 0.852, 0.523], [0.036, 0.138, 0.882], [0.033, 0.385, 0.770], [0.248, 0.396, 0.215], [0.420, 0.347, 0.035], [0.524, 0.357, 0.384], [0.540, 0.603, 0.213], [0.734, 0.314, 0.174], [0.257, 0.147, 0.116], [0.761, 0.613, 0.488], [0.909, 0.341, 0.988], [0.734, 0.814, 0.326], [0.036, 0.638, 0.618], [0.964, 0.362, 0.382], [0.580, 0.153, 0.535], [0.033, 0.885, 0.730], [0.743, 0.353, 0.616], [0.476, 0.643, 0.616], [0.967, 0.115, 0.270], [0.460, 0.397, 0.787], [0.752, 0.104, 0.715], [0.239, 0.387, 0.512], [0.257, 0.647, 0.384], [0.342, 0.161, 0.433], [0.964, 0.862, 0.118], [0.743, 0.853, 0.884], [0.420, 0.847, 0.465], [0.091, 0.659, 0.012], [0.239, 0.887, 0.988], [0.658, 0.839, 0.567], [0.524, 0.857, 0.116], [0.091, 0.159, 0.488], [0.540, 0.103, 0.287], [0.607, 0.500, 0.677], [0.110, 0.502, 0.324], [0.890, 0.998, 0.824], [0.110, 0.002, 0.176], [0.393, 0.500, 0.323], [0.607, 0.000, 0.823], [0.393, 0.000, 0.177], [0.890, 0.498, 0.676], [0.038, 0.295, 0.892], [0.269, 0.302, 0.099], [0.962, 0.705, 0.108], [0.731, 0.198, 0.599], [0.731, 0.698, 0.901], [0.506, 0.201, 0.399], [0.038, 0.795, 0.608], [0.236, 0.729, 0.966], [0.494, 0.799, 0.601], [0.764, 0.271, 0.034], [0.962, 0.205, 0.392], [0.506, 0.701, 0.101], [0.269, 0.802, 0.401], [0.236, 0.229, 0.534], [0.494, 0.299, 0.899], [0.764, 0.771, 0.466], [0.747, 0.487, 0.309], [0.253, 0.513, 0.691], [0.747, 0.987, 0.191], [0.253, 0.013, 0.809]]
}

---

{
  "formula": "LiHgOs2",
  "functional": "GGA-PBEsol",
  "state": "relaxed",
  "delta_e_f_mev_per_atom": 842,
  "spacegroup": "P4/mmm (123)",
  "lattice_angstrom": [[-0.230, -2.425, -1.801], [-0.749, -1.704, 2.390], [-6.071, 1.300, -0.976]],
  "species": ["Hg", "Os", "Os", "Li"],
  "fractional_positions": [[0.500, 0.500, 0.000], [0.000, 0.000, 0.690], [0.000, 0.000, 0.310], [0.500, 0.500, 0.500]]
}

---

{
  "formula": "LiHg3Os",
  "functional": "GGA-PBEsol",
  "state": "relaxed",
  "delta_e_f_mev_per_atom": 570,
  "spacegroup": "Pm-3m (221)",
  "lattice_angstrom": [[5.181, 0.000, 0.000], [0.000, 5.181, 0.000], [0.000, 0.000, 5.181]],
  "species": ["Os", "Li", "Hg", "Hg", "Hg"],
  "fractional_positions": [[0.000, 0.000, 0.000], [0.500, 0.500, 0.500], [0.000, 0.000, 0.500], [0.500, 0.000, 0.000], [0.000, 0.500, 0.000]]
}

---

{
  "formula": "LiHgOs2",
  "functional": "GGA-PBEsol",
  "state": "relaxed",
  "delta_e_f_mev_per_atom": 507,
  "spacegroup": "C2/m (12)",
  "lattice_angstrom": [[-0.227, 1.490, 2.314], [-3.361, -2.764, 1.304], [5.012, -2.250, 0.365]],
  "species": ["Os", "Os", "Hg", "Li"],
  "fractional_positions": [[0.000, 0.000, 0.500], [0.500, 0.500, 0.500], [0.500, 0.000, 0.000], [0.000, 0.500, 0.000]]
}

---

{
  "formula": "LiHgOs2",
  "functional": "GGA-PBEsol",
  "state": "relaxed",
  "delta_e_f_mev_per_atom": 702,
  "spacegroup": "R-3m (166)",
  "lattice_angstrom": [[2.741, 0.000, 0.000], [1.371, 2.374, 0.000], [1.371, 0.791, 9.376]],
  "species": ["Os", "Os", "Li", "Hg"],
  "fractional_positions": [[0.747, 0.747, 0.760], [0.253, 0.253, 0.240], [0.000, 0.000, 0.000], [0.500, 0.500, 0.500]]
}

---

{
  "formula": "RbLiHg2Os",
  "functional": "GGA-PBEsol",
  "state": "relaxed",
  "delta_e_f_mev_per_atom": 1323,
  "spacegroup": "P4/mmm (123)",
  "lattice_angstrom": [[4.886, 0.000, 0.000], [0.000, 4.886, 0.000], [0.000, 0.000, 4.994]],
  "species": ["Os", "Rb", "Hg", "Hg", "Li"],
  "fractional_positions": [[0.500, 0.500, 0.500], [0.000, 0.000, 0.500], [0.500, 0.000, 0.000], [0.000, 0.500, 0.000], [0.000, 0.000, 0.000]]
}

---

{
  "formula": "Li2TiHgOs",
  "functional": "GGA-PBEsol",
  "state": "relaxed",
  "delta_e_f_mev_per_atom": 1189,
  "spacegroup": "P4/mmm (123)",
  "lattice_angstrom": [[-4.063, -0.258, -1.806], [1.402, -3.263, -2.688], [-1.332, -3.446, 3.488]],
  "species": ["Li", "Li", "Os", "Hg", "Ti"],
  "fractional_positions": [[0.000, 0.500, 0.000], [0.500, 0.000, 0.000], [0.000, 0.000, 0.000], [0.000, 0.000, 0.500], [0.500, 0.500, 0.500]]
}

---

{
  "formula": "LiHgP",
  "functional": "GGA-PBEsol",
  "state": "relaxed",
  "delta_e_f_mev_per_atom": -63,
  "spacegroup": "Imm2 (44)",
  "lattice_angstrom": [[2.808, 0.000, 0.000], [0.000, 3.904, 0.000], [-1.404, -1.952, 4.734]],
  "species": ["P", "Li", "Hg"],
  "fractional_positions": [[0.302, 0.302, 0.605], [0.692, 0.692, 0.385], [0.005, 0.005, 0.010]]
}

---

{
  "formula": "LiHgP2",
  "functional": "GGA-PBEsol",
  "state": "relaxed",
  "delta_e_f_mev_per_atom": -58,
  "spacegroup": "P4/mmm (123)",
  "lattice_angstrom": [[-0.505, 2.179, 2.828], [-2.605, -2.177, 1.212], [3.663, -2.812, 2.821]],
  "species": ["Hg", "P", "P", "Li"],
  "fractional_positions": [[0.500, 0.500, 0.000], [0.000, 0.000, 0.690], [0.000, 0.000, 0.310], [0.500, 0.500, 0.500]]
}

---

{
  "formula": "Li4HgP",
  "functional": "GGA-PBEsol",
  "state": "relaxed",
  "delta_e_f_mev_per_atom": -74,
  "spacegroup": "F-43m (216)",
  "lattice_angstrom": [[-1.433, -4.881, 0.490], [3.463, -3.735, -0.421], [1.393, -2.670, 4.129]],
  "species": ["Li", "Li", "Li", "Li", "P", "Hg"],
  "fractional_positions": [[0.376, 0.376, 0.376], [0.873, 0.376, 0.376], [0.376, 0.376, 0.873], [0.376, 0.873, 0.376], [0.750, 0.750, 0.750], [0.000, 0.000, 0.000]]
}

---

{
  "formula": "LiHgP2",
  "functional": "GGA-PBEsol",
  "state": "relaxed",
  "delta_e_f_mev_per_atom": 152,
  "spacegroup": "I-4m2 (119)",
  "lattice_angstrom": [[-2.258, -0.756, -3.177], [1.297, -3.753, -0.028], [-2.682, 1.143, 4.115]],
  "species": ["P", "P", "Hg", "Li"],
  "fractional_positions": [[0.000, 0.000, 0.000], [0.750, 0.250, 0.500], [0.500, 0.500, 0.000], [0.250, 0.750, 0.500]]
}

---

{
  "formula": "LiHg2P",
  "functional": "GGA-PBEsol",
  "state": "relaxed",
  "delta_e_f_mev_per_atom": -45,
  "spacegroup": "I4/mmm (139)",
  "lattice_angstrom": [[-2.112, -3.615, 0.039], [1.562, -0.871, 3.787], [-2.995, 4.173, -0.120]],
  "species": ["P", "Li", "Hg", "Hg"],
  "fractional_positions": [[0.500, 0.000, 0.000], [0.000, 0.500, 0.000], [0.750, 0.750, 0.500], [0.250, 0.250, 0.500]]
}

---

{
  "formula": "LiHgPS2",
  "functional": "GGA-PBEsol",
  "state": "relaxed",
  "spacegroup": "P4/mmm (123)",
  "e_form_raw_ev_per_atom": 0.560,
  "lattice_angstrom": [[-2.358, -3.781, 1.361], [1.933, 0.190, 3.877], [-3.201, 2.527, 1.472]],
  "species": ["P", "S", "S", "Hg", "Li"],
  "fractional_positions": [[0.500, 0.000, 0.000], [0.000, 0.000, 0.500], [0.000, 0.500, 0.000], [0.500, 0.500, 0.500], [0.000, 0.000, 0.000]]
}

---

{
  "formula": "LiHgPb3",
  "functional": "GGA-PBEsol",
  "state": "relaxed",
  "delta_e_f_mev_per_atom": 140,
  "spacegroup": "Pm-3m (221)",
  "e_above_lowest_polymorph_mev_per_atom": 0.0,
  "lattice_angstrom": [[-0.457, 0.439, 5.089], [0.141, -5.106, 0.453], [5.106, 0.181, 0.443]],
  "species": ["Pb", "Pb", "Pb", "Hg", "Li"],
  "fractional_positions": [[0.000, 0.500, 0.000], [0.000, 0.000, 0.500], [0.500, 0.000, 0.000], [0.500, 0.500, 0.500], [0.000, 0.000, 0.000]]
}

---

{
  "formula": "LiHg2Pb",
  "functional": "GGA-PBEsol",
  "state": "relaxed",
  "delta_e_f_mev_per_atom": -172,
  "spacegroup": "Pmm2 (25)",
  "lattice_angstrom": [[3.407, 0.000, 0.206], [0.000, 4.752, 0.000], [-0.349, 0.000, 5.690]],
  "species": ["Hg", "Hg", "Li", "Pb"],
  "fractional_positions": [[0.876, 0.000, 0.997], [0.874, 0.500, 0.311], [0.376, 0.000, 0.411], [0.375, 0.500, 0.781]]
}

---

{
  "formula": "Li2HgPb",
  "functional": "GGA-PBEsol",
  "state": "relaxed",
  "delta_e_f_mev_per_atom": -357,
  "spacegroup": "P4/mmm (123)",
  "lattice_angstrom": [[3.353, 0.000, 0.000], [0.000, 3.353, 0.000], [0.000, 0.000, 6.914]],
  "species": ["Li", "Li", "Pb", "Hg"],
  "fractional_positions": [[0.000, 0.000, 0.225], [0.000, 0.000, 0.775], [0.500, 0.500, 0.500], [0.500, 0.500, 0.000]]
}

---

{
  "formula": "Li2HgPb",
  "functional": "GGA-PBEsol",
  "state": "relaxed",
  "delta_e_f_mev_per_atom": -339,
  "spacegroup": "P4/mmm (123)",
  "lattice_angstrom": [[3.337, 0.000, 0.000], [0.000, 4.805, 0.000], [0.000, 0.000, 4.806]],
  "species": ["Li", "Li", "Hg", "Pb"],
  "fractional_positions": [[0.000, 0.500, 0.625], [0.000, 0.000, 0.125], [0.500, 0.500, 0.125], [0.500, 0.000, 0.625]]
}

---

{
  "formula": "Li2HgPb",
  "functional": "GGA-PBEsol",
  "state": "relaxed",
  "delta_e_f_mev_per_atom": -290,
  "spacegroup": "I-4m2 (119)",
  "lattice_angstrom": [[-1.382, -2.927, -3.115], [4.182, -0.250, -1.621], [-0.607, -1.464, 4.885]],
  "species": ["Li", "Li", "Pb", "Hg"],
  "fractional_positions": [[0.000, 0.000, 0.000], [0.750, 0.250, 0.500], [0.500, 0.500, 0.000], [0.250, 0.750, 0.500]]
}

---

{
  "formula": "Li2HgPb",
  "functional": "GGA-PBEsol",
  "state": "relaxed",
  "delta_e_f_mev_per_atom": -287,
  "spacegroup": "P4mm (99)",
  "lattice_angstrom": [[3.638, 0.000, 0.000], [0.000, 3.638, 0.000], [0.000, 0.000, 6.193]],
  "species": ["Hg", "Li", "Li", "Pb"],
  "fractional_positions": [[0.500, 0.500, 0.798], [0.000, 0.000, 0.978], [0.500, 0.500, 0.243], [0.000, 0.000, 0.481]]
}

---

{
  "formula": "Li2HgPb",
  "functional": "GGA-PBEsol",
  "state": "relaxed",
  "delta_e_f_mev_per_atom": -305,
  "spacegroup": "Cm (8)",
  "lattice_angstrom": [[3.386, 0.000, 0.000], [0.000, 4.845, -0.030], [-1.693, -1.344, 4.924]],
  "species": ["Pb", "Li", "Li", "Hg"],
  "fractional_positions": [[0.502, 0.461, 0.003], [0.749, 0.275, 0.499], [0.990, 0.952, 0.979], [0.259, 0.811, 0.519]]
}

---

| no. | total magnetization (μB per cell) |
| --- | --- |
| 1 | 2.6 |
| 2 | 0.0 |
| 3 | 0.0 |
| 4 | 0.0 |
| 5 | 1.1 |
| 6 | 0.0 |
| 7 | 0.0 |
| 8 | 0.0 |
| 9 | 0.0 |
| 10 | 0.0 |
| 11 | 0.0 |
| 12 | 2.5 |
| 13 | 1.6 |
| 14 | 0.0 |
| 15 | 0.0 |
| 16 | 0.7 |
| 17 | 0.0 |
| 18 | 0.0 |
| 19 | 0.0 |
| 20 | 0.0 |
| 21 | 0.0 |
| 22 | 0.0 |
| 23 | 0.0 |
| 24 | 0.0 |
| 25 | 0.0 |
| 26 | 0.0 |